# NaPr2Er GGA-PBE relaxed
data_NaPr2Er
_symmetry_space_group_name_H-M 'P 1'
_symmetry_Int_Tables_number 1
_cell_length_a 3.581
_cell_length_b 3.581
_cell_length_c 13.085
_cell_angle_alpha 82.14
_cell_angle_beta 82.14
_cell_angle_gamma 60.00
loop_
_symmetry_equiv_pos_as_xyz
'x,y,z'
loop_
_atom_site_label
_atom_site_fract_x
_atom_site_fract_y
_atom_site_fract_z
Pr1 0.092 0.092 0.723
Pr2 0.908 0.908 0.277
Na1 0.000 0.000 0.000
Er1 0.500 0.500 0.500
# Energy relative to the lowest polymorph listed for this composition = 0.028 eV per atom
# Formation energy = 0.122 eV per atom
# Total magnetization = 0.00 μB per formula unit
# Symmetry = R-3m (166)
# VASP energy = -3.738 eV/atom